1.
Compound: MgAl8Ni6
Source: the Alexandria database
Functional: PBE
Structure: relaxed

Unit cell a=6.3815 b=6.3815 c=6.3815 alpha=67.30 beta=67.30 gamma=67.30
Last column: nearest neighbours and their distance in Å.
Positions (direct):
Ni (0.3907, 0.7089, 0.0494)  7 Al 2.44-2.59, 1 Mg 2.52, 1 Ni 2.68
Ni (0.0494, 0.3907, 0.7089)  7 Al 2.44-2.59, 1 Mg 2.52, 1 Ni 2.68
Ni (0.9506, 0.6093, 0.2911)  7 Al 2.44-2.59, 1 Mg 2.52, 1 Ni 2.68
Ni (0.7089, 0.0494, 0.3907)  7 Al 2.44-2.59, 1 Mg 2.52, 1 Ni 2.68
Ni (0.2911, 0.9506, 0.6093)  7 Al 2.44-2.59, 1 Mg 2.52, 1 Ni 2.68
Ni (0.6093, 0.2911, 0.9506)  7 Al 2.44-2.59, 1 Mg 2.52, 1 Ni 2.68
Al (0.2157, 0.5490, 0.8829)  5 Ni 2.45-2.59
Al (0.7843, 0.4510, 0.1171)  5 Ni 2.45-2.59
Al (0.8829, 0.2157, 0.5490)  5 Ni 2.45-2.59
Al (0.6662, 0.6662, 0.6662)  6 Ni 2.44
Al (0.5490, 0.8829, 0.2157)  5 Ni 2.45-2.59
Al (0.4510, 0.1171, 0.7843)  5 Ni 2.45-2.59
Al (0.1171, 0.7843, 0.4510)  5 Ni 2.45-2.59
Al (0.3338, 0.3338, 0.3338)  6 Ni 2.44
Mg (0.0000, 0.0000, 0.0000)  6 Ni 2.52

energy of formation from the pure elements: -543 meV per atom
symmetry: R-3

2.
Compound: MgAl3Ni
Source: the Alexandria database
Functional: PBE
Structure: relaxed

Unit cell a=3.7451 b=6.2826 c=7.3394 alpha=73.15 beta=90.00 gamma=90.00
Last column: nearest neighbours and their distance in Å.
Positions (direct):
Al (0.3808, 0.4267, 0.7559)  1 Ni 2.39
Al (0.8809, 0.6805, 0.4980)  3 Ni 2.45-2.50
Al (0.8809, 0.6926, 0.8795)  3 Ni 2.48, 3 Al 2.70-2.71
Al (0.3809, 0.9942, 0.3081)  3 Ni 2.45-2.50
Al (0.3809, 0.9821, 0.9265)  3 Ni 2.48, 3 Al 2.70-2.71
Al (0.8808, 0.2481, 0.0503)  1 Ni 2.39
Mg (0.3813, 0.5202, 0.2331)  2 Ni 2.73
Mg (0.8813, 0.1546, 0.5730)  2 Ni 2.73
Ni (0.8810, 0.8504, 0.1519)  7 Al 2.39-2.50
Ni (0.3810, 0.8244, 0.6541)  7 Al 2.39-2.50

polymorph energy (0 for the lowest one): 0 meV per atom
energy of formation from the pure elements: -300 meV per atom
symmetry: P2_1/m

3.
Compound: Mg16Al12Ni
Source: the Alexandria database
Functional: PBE
Structure: relaxed

Unit cell a=8.9925 b=8.9925 c=8.9925 alpha=109.08 beta=109.08 gamma=109.08
Last column: nearest neighbours and their distance in Å.
Positions (direct):
Mg (0.6823, 0.4080, 0.0089)  5 Al 2.89-3.07, 5 Mg 3.02-3.19
Mg (0.0089, 0.6823, 0.4080)  5 Al 2.89-3.07, 5 Mg 3.02-3.19
Mg (0.9926, 0.9926, 0.9926)  1 Ni 2.53
Mg (0.7257, 0.3179, 0.3179)  7 Mg 2.98-3.08, 5 Al 3.02-3.09
Mg (0.0010, 0.0010, 0.6498)  4 Mg 2.98-3.13, 6 Al 3.01-3.19
Mg (0.4080, 0.6823, 0.0089)  5 Al 2.89-3.07, 5 Mg 3.02-3.19
Mg (0.0010, 0.6498, 0.0010)  4 Mg 2.98-3.13, 6 Al 3.01-3.19
Mg (0.3179, 0.3179, 0.7257)  7 Mg 2.98-3.08, 5 Al 3.02-3.09
Mg (0.4080, 0.0089, 0.6823)  5 Al 2.89-3.07, 5 Mg 3.02-3.19
Mg (0.6823, 0.0089, 0.4080)  5 Al 2.89-3.07, 5 Mg 3.02-3.19
Mg (0.5709, 0.5709, 0.3077)  5 Al 2.91-3.15, 1 Ni 2.97, 4 Mg 3.04-3.24
Mg (0.3179, 0.7257, 0.3179)  7 Mg 2.98-3.08, 5 Al 3.02-3.09
Mg (0.6498, 0.0010, 0.0010)  4 Mg 2.98-3.13, 6 Al 3.01-3.19
Mg (0.3077, 0.5709, 0.5709)  5 Al 2.91-3.15, 1 Ni 2.97, 4 Mg 3.04-3.24
Mg (0.5709, 0.3077, 0.5709)  5 Al 2.91-3.15, 1 Ni 2.97, 4 Mg 3.04-3.24
Mg (0.0089, 0.4080, 0.6823)  5 Al 2.89-3.07, 5 Mg 3.02-3.19
Al (0.1846, 0.0053, 0.3640)  3 Al 2.63-2.78, 1 Ni 2.74, 1 Mg 2.89
Al (0.8118, 0.2023, 0.8118)  3 Al 2.68-2.78, 2 Mg 2.92
Al (0.2023, 0.8118, 0.8118)  3 Al 2.68-2.78, 2 Mg 2.92
Al (0.8415, 0.6515, 0.6515)  3 Al 2.68-2.78, 4 Mg 2.91-3.01
Al (0.6515, 0.6515, 0.8415)  3 Al 2.68-2.78, 4 Mg 2.91-3.01
Al (0.3640, 0.0053, 0.1846)  3 Al 2.63-2.78, 1 Ni 2.74, 1 Mg 2.89
Al (0.6515, 0.8415, 0.6515)  3 Al 2.68-2.78, 4 Mg 2.91-3.01
Al (0.8118, 0.8118, 0.2023)  3 Al 2.68-2.78, 2 Mg 2.92
Al (0.1846, 0.3640, 0.0053)  3 Al 2.63-2.78, 1 Ni 2.74, 1 Mg 2.89
Al (0.0053, 0.1846, 0.3640)  3 Al 2.63-2.78, 1 Ni 2.74, 1 Mg 2.89
Al (0.0053, 0.3640, 0.1846)  3 Al 2.63-2.78, 1 Ni 2.74, 1 Mg 2.89
Al (0.3640, 0.1846, 0.0053)  3 Al 2.63-2.78, 1 Ni 2.74, 1 Mg 2.89
Ni (0.2685, 0.2685, 0.2685)  1 Mg 2.53, 6 Al 2.74

energy of formation from the pure elements: -32 meV per atom
symmetry: R3m

Record-wise calculated total energy values, in eV per atom: -4.96 -4.02 -2.66
Record-wise density of states at the Fermi level values, in states/eV/f.u.: 5.202 1.831 11.099